# GGA-PBE AcDyY2, relaxed
# excess energy over the best structure of this formula in the dataset: 0.04 eV/f.u.
# energy relative to the elements: 22.0 kJ/mol of formula units
# total moment: 0.00 μB per formula unit
# calculated total energy: -5.3525 eV/atom
data_AcDyY2
_cell_length_a 5.198
_cell_length_b 5.198
_cell_length_c 5.170
_cell_angle_alpha 90.00
_cell_angle_beta 90.00
_cell_angle_gamma 90.00
_space_group_name_H-M_alt 'P 4/m m m'
_space_group_IT_number 123
_space_group_name_Hall '-P 4 2'
loop_
_atom_site_label
_atom_site_type_symbol
_atom_site_fract_x
_atom_site_fract_y
_atom_site_fract_z
Ac1 Ac 0.000 0.000 0.000
Dy1 Dy 0.500 0.500 0.000
Y1 Y 0.000 0.500 0.500